Record 1
Compound: Tm2HCCl2
Source: Alexandria via LeMat-Bulk
Functional: PBE
Structure: optimized geometry

## Properties
DOS(E_F)   0.3473 states/eV per atom
SG   Pmc2_1
Raw total energy   -64.1 eV for the cell shown

Cell and atoms, written as POSCAR:
```
Tm2HCCl2
1.0
3.7125 0.0000 0.0000
0.0000 5.8406 0.0000
0.0000 0.0000 10.7030
Tm H C Cl
4 2 2 4
direct
0.0000 0.2857 0.6944 Tm
0.5000 0.3027 0.4205 Tm
0.0000 0.7857 0.3056 Tm
0.5000 0.8027 0.5795 Tm
0.5000 0.1716 0.6211 H
0.5000 0.6716 0.3789 H
0.0000 0.0317 0.4793 C
0.0000 0.5317 0.5207 C
0.5000 0.8946 0.1434 Cl
0.0000 0.3593 0.2244 Cl
0.5000 0.3946 0.8566 Cl
0.0000 0.8593 0.7756 Cl
```

---

Record 2
Compound: CaMo2Rh
Source: Alexandria via LeMat-Bulk
Functional: PBE
Structure: optimized geometry

## Properties
Energy above the lowest structure with this stoichiometry   210 meV per atom
DOS(E_F)   1.0057 states/eV per atom
SG   P2/m
E_form   0.4101 eV/atom

Cell and atoms, written as POSCAR:
```
CaMo2Rh
1.0
4.8942 0.0000 0.0000
0.0000 2.7986 -0.0027
0.0000 1.0695 5.0367
Mo Rh Ca
2 1 1
direct
0.0000 0.0156 0.0026 Mo
0.0000 0.4844 0.4974 Mo
0.5000 0.2500 0.2500 Rh
0.5000 0.7500 0.7500 Ca
```

---

Record 3
Compound: Dy2TmAu
Source: Alexandria via LeMat-Bulk
Functional: PBE
Structure: optimized geometry

## Properties
Energy above the lowest structure with this stoichiometry   174 meV per atom
DOS(E_F)   1.1898 states/eV per atom
SG   R3m
E_form   -0.2786 eV/atom

Cell and atoms, written as POSCAR:
```
Dy2TmAu
1.0
3.7024 0.0000 0.0000
1.8512 3.2064 0.0000
1.8512 1.0688 9.7818
Dy Tm Au
2 1 1
direct
0.0707 0.0707 0.7880 Dy
0.2628 0.2628 0.2116 Dy
0.5004 0.5004 0.4989 Tm
0.6662 0.6662 0.0014 Au
```